The following is a GGA-PBE calculation of PmAsPO after structural relaxation, from OQMD.

Cell lengths 5.1951, 6.8573, 6.1806 Å; angles 90.00, 90.00, 90.00 degrees
Atoms (fractional coordinates):
1 Pm 0.0000 0.1841 0.0000
2 Pm 0.0000 0.8159 0.5000
3 As 0.5000 0.3172 0.5711
4 As 0.5000 0.6828 0.0711
5 P 0.5000 0.3742 0.9376
6 P 0.5000 0.6258 0.4376
7 O 0.0000 0.0740 0.3169
8 O 0.0000 0.9260 0.8169

## Properties
- E above lowest polymorph: 0.68 eV per formula unit
- V: 27.522 A^3/atom